A plane-wave DFT calculation with PBE was carried out for a geometry-optimized CsNdSnSe3 structure.

extended XYZ file:
```
12
Lattice="2.035 4.986 6.968 -2.556 -0.970 -8.371 -11.713 -0.259 3.607" Properties=species:S:1:pos:R:3 pbc="T T T"
Se -9.015 1.853 2.105
Se -4.523 4.153 7.019
Se -3.219 1.904 0.098
Se -2.179 -0.274 -6.519
Se -7.711 -0.396 -4.816
Se -10.055 4.031 8.723
Nd -0.260 2.008 -0.702
Nd -6.117 1.878 1.102
Cs -10.425 0.024 -2.605
Cs -1.809 3.733 4.809
Sn -5.024 -0.438 -5.932
Sn -7.210 4.195 8.135
```

Calculated values
DFT total energy: -4.54 eV/atom